# 1
Entry from Alexandria: crystalline Cs3PrTh2Se6 at its relaxed geometry (PBE-GGA).

Computed properties:
The magnetization comes out at 0.0 μB/cell. The space group is No. 12. For the uncorrected formation energy, the calculation gives -153.83 kJ/mol of atoms. Its electronic total energy is -5.18 eV per atom.

a b c (Å): 7.524 7.524 8.851
angles (deg): 98.15 98.15 119.99
Element x y z (fractional)
Cs  0.165  0.835  0.500
Cs  0.835  0.165  0.500
Cs  0.500  0.500  0.500
Pr  0.000  0.000  0.000
Th  0.333  0.667  0.000
Th  0.667  0.333  0.000
Se  0.935  0.593  0.805
Se  0.723  0.723  0.194
Se  0.065  0.407  0.195
Se  0.593  0.935  0.805
Se  0.277  0.277  0.806
Se  0.407  0.065  0.195

---

# 2
Entry from Alexandria: crystalline Cs2Pr2TiSe6 at its relaxed geometry (PBE-GGA).

Computed properties:
The magnetization comes out at 0.0 μB/cell. The space group is No. 12. For the uncorrected formation energy, the calculation gives -145.68 kJ/mol of atoms. Its electronic total energy is -5.15 eV per atom.

a b c (Å): 7.209 7.209 8.917
angles (deg): 98.38 98.38 119.28
Element x y z (fractional)
Cs  0.827  0.173  0.000
Cs  0.173  0.827  0.000
Pr  0.333  0.667  0.500
Pr  0.667  0.333  0.500
Ti  0.000  0.000  0.500
Se  0.769  0.769  0.679
Se  0.066  0.363  0.682
Se  0.231  0.231  0.321
Se  0.363  0.066  0.682
Se  0.934  0.637  0.318
Se  0.637  0.934  0.318